No. 1
# MnNbWCl2 | Alexandria | PBE-GGA | optimized geometry
data_MnNbWCl2
_chemical_formula_sum 'Mn1 Nb1 W1 Cl2'
_symmetry_space_group_name_H-M 'P 4/m m m'
_symmetry_Int_Tables_number 123
_symmetry_space_group_name_Hall '-P 4 2'
_cell_length_a 4.341
_cell_length_b 4.341
_cell_length_c 5.527
_cell_angle_alpha 90.00
_cell_angle_beta 90.00
_cell_angle_gamma 90.00
loop_
_atom_site_label
_atom_site_type_symbol
_atom_site_fract_x
_atom_site_fract_y
_atom_site_fract_z
_atom_site_occupancy
Mn1 Mn 0.000 0.000 0.000 1
Nb1 Nb 0.000 0.000 0.500 1
W1 W 0.500 0.500 0.500 1
Cl1 Cl 0.000 0.500 0.000 1
# formation energy from raw total energies	6.14	eV per formula unit
# energy	-5.948	eV/atom

=====

No. 2
# CdReCl2 | Alexandria | PBE-GGA | optimized geometry
data_CdReCl2
_chemical_formula_sum 'Cd2 Re2 Cl4'
_symmetry_space_group_name_H-M 'C m m m'
_symmetry_Int_Tables_number 65
_symmetry_space_group_name_Hall '-C 2 2'
_cell_length_a 2.938
_cell_length_b 5.565
_cell_length_c 10.272
_cell_angle_alpha 90.00
_cell_angle_beta 90.00
_cell_angle_gamma 90.00
loop_
_atom_site_label
_atom_site_type_symbol
_atom_site_fract_x
_atom_site_fract_y
_atom_site_fract_z
_atom_site_occupancy
Cd1 Cd 0.000 0.000 0.000 1
Re1 Re 0.000 0.000 0.500 1
Cl1 Cl 0.000 0.500 0.314 1
# formation energy from raw total energies	0.72	eV per formula unit
# energy	-4.085	eV/atom

=====

No. 3
# SmCo4Ge4 | Alexandria | PBE-GGA | optimized geometry
data_SmCo4Ge4
_chemical_formula_sum 'Sm2 Co8 Ge8'
_symmetry_space_group_name_H-M 'P 42/n m c'
_symmetry_Int_Tables_number 137
_cell_length_a 5.809
_cell_length_b 5.809
_cell_length_c 7.977
_cell_angle_alpha 90.00
_cell_angle_beta 90.00
_cell_angle_gamma 90.00
loop_
_symmetry_equiv_pos_as_xyz
'x,y,z'
'-x,-y,-z'
'-y+1/2,x,z+1/2'
'y+1/2,-x,-z+1/2'
'-x+1/2,-y+1/2,z'
'x+1/2,y+1/2,-z'
'y,-x+1/2,z+1/2'
'-y,x+1/2,-z+1/2'
'x+1/2,-y,-z'
'-x+1/2,y,z'
'-y,-x,-z+1/2'
'y,x,z+1/2'
'-x,y+1/2,-z'
'x,-y+1/2,z'
'y+1/2,x+1/2,-z+1/2'
'-y+1/2,-x+1/2,z+1/2'
loop_
_atom_site_label
_atom_site_type_symbol
_atom_site_fract_x
_atom_site_fract_y
_atom_site_fract_z
_atom_site_occupancy
Sm1 Sm 0.250 0.750 0.250 1
Co1 Co 0.025 0.250 0.135 1
Ge1 Ge 0.035 0.250 0.429 1
# ΔH_f (0 K)	-0.324	eV per atom
# energy	-6.059	eV/atom

=====

No. 4
# LaOsPt2 | Alexandria | PBE-GGA | optimized geometry
data_LaOsPt2
_chemical_formula_sum 'La2 Os2 Pt4'
_symmetry_space_group_name_H-M 'C m m m'
_symmetry_Int_Tables_number 65
_symmetry_space_group_name_Hall '-C 2 2'
_cell_length_a 5.920
_cell_length_b 8.159
_cell_length_c 3.030
_cell_angle_alpha 90.00
_cell_angle_beta 90.00
_cell_angle_gamma 90.00
loop_
_atom_site_label
_atom_site_type_symbol
_atom_site_fract_x
_atom_site_fract_y
_atom_site_fract_z
_atom_site_occupancy
La1 La 0.000 0.000 0.000 1
Os1 Os 0.000 0.500 0.000 1
Pt1 Pt 0.250 0.250 0.500 1
# ΔH_f (0 K)	-0.140	eV per atom
# energy	-7.199	eV/atom

=====

No. 5
# Na2AgO | Alexandria | PBE-GGA | optimized geometry
data_Na2AgO
_chemical_formula_sum 'Na8 Ag4 O4'
_symmetry_space_group_name_H-M 'C m c m'
_symmetry_Int_Tables_number 63
_symmetry_space_group_name_Hall '-C 2c 2'
_cell_length_a 3.595
_cell_length_b 13.585
_cell_length_c 5.854
_cell_angle_alpha 90.00
_cell_angle_beta 90.00
_cell_angle_gamma 90.00
loop_
_atom_site_label
_atom_site_type_symbol
_atom_site_fract_x
_atom_site_fract_y
_atom_site_fract_z
_atom_site_occupancy
Na1 Na 0.000 0.170 0.003 1
Ag1 Ag 0.000 0.477 0.750 1
O1 O 0.000 0.306 0.750 1
# formation energy from raw total energies	-2.75	eV per formula unit
# energy	-3.299	eV/atom

=====

No. 6
# Dy3Cr5Te12 | Alexandria | PBE-GGA | optimized geometry
data_Dy3Cr5Te12
_chemical_formula_sum 'Dy24 Cr40 Te96'
_symmetry_space_group_name_H-M 'I a -3 d'
_symmetry_Int_Tables_number 230
_symmetry_space_group_name_Hall '-I 4bd 2c 3'
_cell_length_a 16.907
_cell_length_b 16.907
_cell_length_c 16.907
_cell_angle_alpha 90.00
_cell_angle_beta 90.00
_cell_angle_gamma 90.00
loop_
_atom_site_label
_atom_site_type_symbol
_atom_site_fract_x
_atom_site_fract_y
_atom_site_fract_z
_atom_site_occupancy
Dy1 Dy 0.000 0.250 0.125 1
Cr1 Cr 0.000 0.000 0.000 1
Cr2 Cr 0.000 0.250 0.375 1
Te1 Te 0.027 0.061 0.649 1
# formation energy from raw total energies	-9.33	eV per formula unit
# energy	-5.447	eV/atom